Entry from the Alexandria database: a PBEsol-optimized structure of MgFe2Ag (meta-GGA SCAN).

Geometry as CIF:
```
data_MgFe2Ag
_cell_length_a 3.2916
_cell_length_b 3.2916
_cell_length_c 5.3930
_cell_angle_alpha 90.00
_cell_angle_beta 90.00
_cell_angle_gamma 90.00
_space_group_name_H-M_alt 'P 4/m m m'
_space_group_IT_number 123
_space_group_name_Hall '-P 4 2'
loop_
_atom_site_label
_atom_site_type_symbol
_atom_site_fract_x
_atom_site_fract_y
_atom_site_fract_z
Mg1 Mg 0.0000 0.0000 0.0000
Fe1 Fe 0.5000 0.5000 0.2663
Ag1 Ag 0.0000 0.0000 0.5000
```

Calculated values
Formation energy from the elements ... 347 meV per atom